DFT (PBE) results for a geometry-optimized CsScO2 structure.

Geometry as POSCAR:
```
CsScO2
1.0
7.3949 0.0000 0.0000
0.0000 7.3949 0.0000
3.6974 3.6974 3.0895
Cs Sc O
2 2 4
Cartesian
7.3949 7.3949 1.5448
3.6974 3.6974 1.5448
7.3949 3.6974 1.5448
3.6974 7.3949 1.5448
6.4440 2.7466 0.0000
0.9509 4.6483 0.0000
2.7466 0.9509 0.0000
4.6483 6.4440 0.0000
```

Output
ρ: 4.125 Mg/m³
raw formation energy: -2.374 eV per atom